# Rb2LiTaW | the Alexandria database | PBE | optimized geometry
# **Calculated formation energy**: 11.549 eV per formula unit
# **Energy**: -3.4212 eV per atom
data_Rb2LiTaW
_chemical_formula_sum 'Rb2 Li1 Ta1 W1'
_cell_length_a 4.603
_cell_length_b 4.603
_cell_length_c 5.769
_cell_angle_alpha 90.00
_cell_angle_beta 90.00
_cell_angle_gamma 90.00
_symmetry_space_group_name_H-M 'P 4/m m m'
_symmetry_Int_Tables_number 123
_symmetry_space_group_name_Hall '-P 4 2'
loop_
_atom_site_label
_atom_site_type_symbol
_atom_site_fract_x
_atom_site_fract_y
_atom_site_fract_z
Rb1 Rb 0.000 0.500 0.000
Li1 Li 0.000 0.000 0.000
Ta1 Ta 0.500 0.500 0.500
W1 W 0.000 0.000 0.500

# RbLiTbTe2 | the Alexandria database | PBE | optimized geometry
# **Formation energy without anion corrections**: -91 kJ per mole of atoms
# **Energy**: -3.6981 eV per atom
data_RbLiTbTe2
_chemical_formula_sum 'Rb4 Li4 Tb4 Te8'
_cell_length_a 6.670
_cell_length_b 16.188
_cell_length_c 6.959
_cell_angle_alpha 90.00
_cell_angle_beta 90.00
_cell_angle_gamma 90.00
_symmetry_space_group_name_H-M 'C m m e'
_symmetry_Int_Tables_number 67
_symmetry_space_group_name_Hall '-C 2a 2'
loop_
_atom_site_label
_atom_site_type_symbol
_atom_site_fract_x
_atom_site_fract_y
_atom_site_fract_z
Rb1 Rb 0.000 0.250 0.241
Li1 Li 0.000 0.000 0.000
Tb1 Tb 0.250 0.000 0.500
Te1 Te 0.000 0.119 0.742

# Rb2LiTc | the Alexandria database | PBE | optimized geometry
# **Calculated formation energy**: 5.158 eV per formula unit
# **Energy**: -2.2641 eV per atom
# **Excess energy over the best structure of this formula in the dataset**: 0 meV per atom
data_Rb2LiTc
_chemical_formula_sum 'Rb8 Li4 Tc4'
_cell_length_a 8.731
_cell_length_b 8.731
_cell_length_c 8.731
_cell_angle_alpha 90.00
_cell_angle_beta 90.00
_cell_angle_gamma 90.00
_symmetry_space_group_name_H-M 'F m -3 m'
_symmetry_Int_Tables_number 225
_symmetry_space_group_name_Hall '-F 4 2 3'
loop_
_atom_site_label
_atom_site_type_symbol
_atom_site_fract_x
_atom_site_fract_y
_atom_site_fract_z
Rb1 Rb 0.250 0.250 0.250
Li1 Li 0.000 0.000 0.000
Tc1 Tc 0.000 0.000 0.500

# Rb2LiTc | the Alexandria database | PBE | optimized geometry
# **Calculated formation energy**: 5.395 eV per formula unit
# **Energy**: -2.2049 eV per atom
# **Excess energy over the best structure of this formula in the dataset**: 59 meV per atom
data_Rb2LiTc
_chemical_formula_sum 'Rb8 Li4 Tc4'
_cell_length_a 9.839
_cell_length_b 9.839
_cell_length_c 6.861
_cell_angle_alpha 90.00
_cell_angle_beta 90.00
_cell_angle_gamma 90.00
_symmetry_space_group_name_H-M 'I -4 2 d'
_symmetry_Int_Tables_number 122
_symmetry_space_group_name_Hall 'I -4 2bw'
loop_
_atom_site_label
_atom_site_type_symbol
_atom_site_fract_x
_atom_site_fract_y
_atom_site_fract_z
Rb1 Rb 0.249 0.250 0.125
Li1 Li 0.000 0.000 0.500
Tc1 Tc 0.000 0.000 0.000